(1)
A plane-wave DFT calculation with PBE was carried out for a geometry-optimized HoSnTe2AuSe structure.

Summary:
Space-group type: Cmcm, No. 63
Electronic total energy (eV/cell): -51.75
Spin magnetization (μB per cell): 0.0

a b c (Å): 7.6764 7.6764 10.4575
angles (deg): 90.00 90.00 147.94
Fractional coordinates of all 12 atoms:
Te  0.3487  0.6513  0.4458
Te  0.6513  0.3487  0.9458
Te  0.3487  0.6513  0.0542
Te  0.6513  0.3487  0.5542
Sn  0.7492  0.2507  0.2500
Sn  0.2507  0.7492  0.7500
Ho  0.0000  0.0000  0.5000
Ho  0.0000  0.0000  0.0000
Se  0.9123  0.0877  0.7500
Se  0.0877  0.9123  0.2500
Au  0.4754  0.5246  0.2500
Au  0.5246  0.4754  0.7500

***

(2)
A plane-wave DFT calculation with PBE was carried out for a geometry-optimized SrHoAuSe3 structure.

Summary:
Space-group type: P2_1/m, No. 11
Electronic total energy (eV/cell): -57.64
Spin magnetization (μB per cell): 0.0

a b c (Å): 8.0066 4.1042 9.8743
angles (deg): 90.00 105.87 90.00
Fractional coordinates of all 12 atoms:
Sr  0.7384  0.2500  0.7851
Sr  0.2616  0.7500  0.2149
Ho  0.8116  0.7500  0.3365
Ho  0.1884  0.2500  0.6635
Se  0.5642  0.2500  0.3502
Se  0.4358  0.7500  0.6498
Se  0.0709  0.2500  0.3614
Se  0.7968  0.7500  0.0402
Se  0.2032  0.2500  0.9598
Se  0.9291  0.7500  0.6386
Au  0.6044  0.2500  0.0959
Au  0.3956  0.7500  0.9041

***

The lowest electronic total energy belongs to which entry? SrHoAuSe3

***

Look up the electronic total energy of the first one. -51.75 eV/cell